(1)
The following is a DFT calculation (PBE) of a relaxed Zr2Zn3Ga2 crystal.

Lattice parameters (Å, degrees): 5.3744 5.3744 6.3535 110.67 110.67 44.96
Closest atoms and distances in Å follow each position.
Atoms (fractional coordinates):
Zr  0.1550  0.1550  0.2762  4 Ga 2.87-2.97, 8 Zn 2.91-3.21
Zr  0.8450  0.8450  0.7238  4 Ga 2.87-2.97, 8 Zn 2.91-3.21
Zn  0.4040  0.4040  0.0718  2 Zn 2.41-2.52, 3 Ga 2.54-2.63
Zn  0.5000  0.5000  0.5000  2 Zn 2.52, 4 Ga 2.63
Zn  0.5960  0.5960  0.9282  2 Zn 2.41-2.52, 3 Ga 2.54-2.63
Ga  0.1471  0.1471  0.7363  5 Zn 2.54-2.63
Ga  0.8529  0.8529  0.2637  5 Zn 2.54-2.63

Summary:
DFT formation energy   -34 kJ per mole of atoms

(2)
The following is a DFT calculation (PBE) of a relaxed Zr6ZnGa2 crystal.

Lattice parameters (Å, degrees): 9.2007 9.2007 4.3512 90.00 90.00 90.00
Closest atoms and distances in Å follow each position.
Atoms (fractional coordinates):
Zr  0.0120  0.3233  0.0000  1 Zn 2.98, 3 Ga 2.98, 8 Zr 3.08-3.26
Zr  0.1444  0.8556  0.5000  2 Zn 2.87, 4 Ga 3.08-3.09, 6 Zr 3.08-3.18
Zr  0.1767  0.5120  0.5000  1 Zn 2.98, 3 Ga 2.98, 8 Zr 3.08-3.26
Zr  0.3233  0.0120  0.0000  1 Zn 2.98, 3 Ga 2.98, 8 Zr 3.08-3.26
Zr  0.3556  0.3556  0.0000  2 Zn 2.87, 4 Ga 3.08-3.09, 6 Zr 3.08-3.18
Zr  0.4880  0.8233  0.5000  1 Zn 2.98, 3 Ga 2.98, 8 Zr 3.08-3.26
Zr  0.5120  0.1767  0.5000  1 Zn 2.98, 3 Ga 2.98, 8 Zr 3.08-3.26
Zr  0.6444  0.6444  0.0000  2 Zn 2.87, 4 Ga 3.08-3.09, 6 Zr 3.08-3.18
Zr  0.6767  0.9880  0.0000  1 Zn 2.98, 3 Ga 2.98, 8 Zr 3.08-3.26
Zr  0.8233  0.4880  0.5000  1 Zn 2.98, 3 Ga 2.98, 8 Zr 3.08-3.26
Zr  0.8556  0.1444  0.5000  2 Zn 2.87, 4 Ga 3.08-3.09, 6 Zr 3.08-3.18
Zr  0.9880  0.6767  0.0000  1 Zn 2.98, 3 Ga 2.98, 8 Zr 3.08-3.26
Zn  0.0000  0.0000  0.0000  8 Zr 2.87-2.98
Zn  0.5000  0.5000  0.5000  8 Zr 2.87-2.98
Ga  0.1884  0.1884  0.5000  10 Zr 2.98-3.09, 2 Zn 3.28
Ga  0.3116  0.6884  0.0000  10 Zr 2.98-3.09, 2 Zn 3.28
Ga  0.6884  0.3116  0.0000  10 Zr 2.98-3.09, 2 Zn 3.28
Ga  0.8116  0.8116  0.5000  10 Zr 2.98-3.09, 2 Zn 3.28

Summary:
DFT formation energy   -29 kJ per mole of atoms

(3)
The following is a DFT calculation (PBE) of a relaxed Zr6ZnGa crystal.

Lattice parameters (Å, degrees): 7.7592 7.4370 5.0361 74.14 67.22 38.63
Closest atoms and distances in Å follow each position.
Atoms (fractional coordinates):
Zr  0.1160  0.1160  0.3840  2 Zn 2.96, 2 Ga 2.96, 7 Zr 3.08-3.20
Zr  0.2484  0.2484  0.7516  10 Zr 3.08-3.20, 1 Ga 3.34, 1 Zn 3.38
Zr  0.3840  0.3840  0.1160  2 Zn 2.96, 2 Ga 2.96, 7 Zr 3.08-3.20
Zr  0.6160  0.6160  0.8840  2 Zn 2.96, 2 Ga 2.96, 7 Zr 3.08-3.20
Zr  0.7516  0.7516  0.2484  10 Zr 3.08-3.20, 1 Ga 3.34, 1 Zn 3.38
Zr  0.8840  0.8840  0.6160  2 Zn 2.96, 2 Ga 2.96, 7 Zr 3.08-3.20
Zn  0.5000  0.5000  0.5000  8 Zr 2.96, 2 Ga 3.20
Ga  0.0000  0.0000  0.0000  8 Zr 2.96, 2 Zn 3.20

Summary:
DFT formation energy   -19 kJ per mole of atoms

(4)
The following is a DFT calculation (PBE) of a relaxed ZrZnGa6 crystal.

Lattice parameters (Å, degrees): 5.7660 5.7660 4.7506 90.00 90.00 115.48
Closest atoms and distances in Å follow each position.
Atoms (fractional coordinates):
Zr  0.0000  0.0000  0.0000  12 Ga 2.88-3.18, 2 Zn 3.08
Zn  0.5000  0.5000  0.0000  8 Ga 2.70-2.88
Ga  0.0000  0.5000  0.0000  6 Ga 2.85-3.08, 2 Zr 2.88, 2 Zn 2.88
Ga  0.2168  0.7832  0.5000  8 Ga 2.78-3.04
Ga  0.2927  0.2927  0.5000  3 Ga 2.55-2.78, 2 Zn 2.70
Ga  0.5000  0.0000  0.0000  6 Ga 2.85-3.08, 2 Zr 2.88, 2 Zn 2.88
Ga  0.7073  0.7073  0.5000  3 Ga 2.55-2.78, 2 Zn 2.70
Ga  0.7832  0.2168  0.5000  8 Ga 2.78-3.04

Summary:
DFT formation energy   -15 kJ per mole of atoms

(5)
The following is a DFT calculation (PBE) of a relaxed Zr2ZnGa2 crystal.

Lattice parameters (Å, degrees): 6.7425 6.7425 4.0610 90.00 90.00 90.00
Closest atoms and distances in Å follow each position.
Atoms (fractional coordinates):
Zr  0.1746  0.3254  0.0000  6 Ga 2.76-2.90
Zr  0.3254  0.8254  0.0000  6 Ga 2.76-2.90
Zr  0.6746  0.1746  0.0000  6 Ga 2.76-2.90
Zr  0.8254  0.6746  0.0000  6 Ga 2.76-2.90
Zn  0.0000  0.0000  0.5000  4 Ga 2.64
Zn  0.5000  0.5000  0.5000  4 Ga 2.64
Ga  0.1299  0.6299  0.5000  1 Ga 2.48, 2 Zn 2.64, 2 Zr 2.76
Ga  0.3701  0.1299  0.5000  1 Ga 2.48, 2 Zn 2.64, 2 Zr 2.76
Ga  0.6299  0.8701  0.5000  1 Ga 2.48, 2 Zn 2.64, 2 Zr 2.76
Ga  0.8701  0.3701  0.5000  1 Ga 2.48, 2 Zn 2.64, 2 Zr 2.76

Summary:
DFT formation energy   -48 kJ per mole of atoms

(6)
The following is a DFT calculation (PBE) of a relaxed Zr2Zn2Ga crystal.

Lattice parameters (Å, degrees): 5.4810 5.4810 9.6711 114.15 114.15 44.50
Closest atoms and distances in Å follow each position.
Atoms (fractional coordinates):
Zr  0.0057  0.0057  0.3218  6 Zn 2.80-3.02, 3 Ga 2.91-3.00
Zr  0.1808  0.1808  0.0916  6 Zn 2.81-3.05, 2 Ga 3.00
Zr  0.8192  0.8192  0.9084  6 Zn 2.81-3.05, 2 Ga 3.00
Zr  0.9943  0.9943  0.6782  6 Zn 2.80-3.02, 3 Ga 2.91-3.00
Zn  0.3623  0.3623  0.4383  3 Ga 2.47-2.72, 1 Zn 2.51
Zn  0.4703  0.4703  0.1139  1 Ga 2.49, 1 Zn 2.53
Zn  0.5297  0.5297  0.8861  1 Ga 2.49, 1 Zn 2.53
Zn  0.6377  0.6377  0.5617  3 Ga 2.47-2.72, 1 Zn 2.51
Ga  0.2777  0.2777  0.6692  4 Zn 2.47-2.72
Ga  0.7223  0.7223  0.3308  4 Zn 2.47-2.72

Summary:
DFT formation energy   -35 kJ per mole of atoms

(7)
The following is a DFT calculation (PBE) of a relaxed Zr2Zn3Ga crystal.

Lattice parameters (Å, degrees): 8.6234 8.1375 5.4034 76.15 66.38 37.47
Closest atoms and distances in Å follow each position.
Atoms (fractional coordinates):
Zr  0.2486  0.7514  0.7514  10 Zn 2.96-2.98, 2 Ga 2.97, 2 Zr 3.23-3.26
Zr  0.2500  0.2500  0.2500  4 Ga 2.98, 8 Zn 2.98, 2 Zr 3.24
Zr  0.7500  0.7500  0.7500  4 Ga 2.98, 8 Zn 2.98, 2 Zr 3.24
Zr  0.7514  0.2486  0.2486  10 Zn 2.96-2.98, 2 Ga 2.97, 2 Zr 3.23-3.26
Zn  0.1659  0.1659  0.8341  2 Zn 2.48, 1 Ga 2.50
Zn  0.1662  0.6682  0.3318  2 Zn 2.47-2.48, 1 Ga 2.50
Zn  0.3318  0.8338  0.1662  2 Zn 2.47-2.48, 1 Ga 2.50
Zn  0.6682  0.1662  0.8338  2 Zn 2.47-2.48, 1 Ga 2.50
Zn  0.8338  0.3318  0.6682  2 Zn 2.47-2.48, 1 Ga 2.50
Zn  0.8341  0.8341  0.1659  2 Zn 2.48, 1 Ga 2.50
Ga  0.3337  0.3337  0.6663  3 Zn 2.50
Ga  0.6663  0.6663  0.3337  3 Zn 2.50

Summary:
DFT formation energy   -38 kJ per mole of atoms

(8)
The following is a DFT calculation (PBE) of a relaxed Zr5Zn2Ga crystal.

Lattice parameters (Å, degrees): 8.1751 8.1751 8.1751 128.71 128.71 75.48
Closest atoms and distances in Å follow each position.
Atoms (fractional coordinates):
Zr  0.0000  0.0000  0.0000  4 Zn 2.79
Zr  0.0048  0.5048  0.8221  3 Zn 2.88-2.93, 2 Ga 2.92, 2 Zr 3.01-3.22
Zr  0.1827  0.0048  0.5000  3 Zn 2.88-2.93, 2 Ga 2.92, 2 Zr 3.01-3.22
Zr  0.3173  0.8173  0.8221  3 Zn 2.88-2.93, 2 Ga 2.92, 2 Zr 3.01-3.22
Zr  0.4952  0.3173  0.5000  3 Zn 2.88-2.93, 2 Ga 2.92, 2 Zr 3.01-3.22
Zr  0.5000  0.5000  0.0000  4 Zn 2.79
Zr  0.5048  0.6827  0.5000  3 Zn 2.88-2.93, 2 Ga 2.92, 2 Zr 3.01-3.22
Zr  0.6827  0.1827  0.1779  3 Zn 2.88-2.93, 2 Ga 2.92, 2 Zr 3.01-3.22
Zr  0.8173  0.9952  0.5000  3 Zn 2.88-2.93, 2 Ga 2.92, 2 Zr 3.01-3.22
Zr  0.9952  0.4952  0.1779  3 Zn 2.88-2.93, 2 Ga 2.92, 2 Zr 3.01-3.22
Zn  0.1274  0.3726  0.5000  1 Zn 2.55, 2 Zr 2.79
Zn  0.3726  0.8726  0.2452  1 Zn 2.55, 2 Zr 2.79
Zn  0.6274  0.1274  0.7548  1 Zn 2.55, 2 Zr 2.79
Zn  0.8726  0.6274  0.5000  1 Zn 2.55, 2 Zr 2.79
Ga  0.2500  0.2500  0.0000  10 Zr 2.92-3.23
Ga  0.7500  0.7500  0.0000  10 Zr 2.92-3.23

Summary:
DFT formation energy   -23 kJ per mole of atoms

Respective VASP energy values: -4.20 -6.82 -7.14 -3.66 -5.38 -4.90 -4.39 -6.28 eV per atom.
Respective ρ values: 7.2 6.8 6.8 6.7 7.0 7.0 7.1 6.7 g/cm3.